BeV2CrO6 | PBE+U | relaxed

**Calculated volume**: 9.96 Å³ per atom
**M_tot**: 0.6000 μB/atom
**Electronic total energy**: -7.65 eV/atom

The structure in POSCAR format:
```
BeV2CrO6
1.0
4.9235 0.0000 0.0000
2.4271 4.2895 0.0000
2.4253 1.4404 4.7153
Be V Cr O
1 2 1 6
Direct
0.0000 0.0000 0.0000
0.2510 0.2495 0.2453
0.7644 0.7576 0.7095
0.5651 0.5633 0.3031
0.1575 0.4891 0.5068
0.3332 0.9628 0.0205
0.5076 0.8407 0.5049
0.6858 0.3334 0.0166
0.8502 0.1515 0.4991
0.9622 0.6865 0.0141
```